Computed, not measured: a relaxed Tl2W3O8 crystal at the PBE with a Hubbard U level of DFT.

Cell: 13.9520 6.4316 5.5087 Å, 90.00 109.62 90.00°
Closest atoms and distances in Å follow each position.
Space group C2/m (No. 12)
Asymmetric unit:
1 Tl 0.2050 0.0000 0.1743 x4  3 O 2.67-2.68
2 W 0.0000 0.2426 0.5000 x4  6 O 1.95-2.14
3 W 0.0000 0.5000 0.0000 x2  6 O 2.06-2.16
4 O 0.0751 0.2746 0.8672 x8  2 W 1.95-2.06
5 O 0.0791 0.5000 0.4113 x4  3 W 2.14-2.16
6 O 0.0876 0.0000 0.4710 x4  2 W 2.02

Calculated values
D(E_F)   0.00 states/eV per cell
E_tot   -176.39 eV for the cell shown